(1)
MnAgRu2 | PBE-GGA | relaxed

Output
Calculated total energy = -29.2 eV for the cell shown
Space group = P4/mmm, No. 123
Distance to the lowest polymorph of the same formula = 2.02 kcal/mol of atoms
Calculated formation energy = 0.34 eV/atom
DOS at the Fermi energy = 1.0040 states/eV per atom

Cell: 2.873 2.873 7.092 Å, 90.00 90.00 90.00°
Sites, in units of the cell vectors:
Mn1 0.000 0.000 0.000
Ag1 0.000 0.000 0.500
Ru1 0.500 0.500 0.210
Ru2 0.500 0.500 0.790

=====

(2)
MnAgRu2 | PBE-GGA | relaxed

Output
Calculated total energy = -29.3 eV for the cell shown
Space group = R3m, No. 160
Distance to the lowest polymorph of the same formula = 1.45 kcal/mol of atoms
Calculated formation energy = 0.31 eV/atom
DOS at the Fermi energy = 1.0176 states/eV per atom

Cell: 9.163 9.163 9.163 Å, 17.31 17.31 17.31°
Sites, in units of the cell vectors:
Mn1 0.000 0.000 0.000
Ag1 0.247 0.247 0.247
Ru1 0.489 0.489 0.489
Ru2 0.746 0.746 0.746

=====

(3)
Mn2AgRu | PBE-GGA | relaxed

Output
Calculated total energy = -29.3 eV for the cell shown
Space group = P4mm, No. 99
Calculated formation energy = 0.28 eV/atom
DOS at the Fermi energy = 1.0571 states/eV per atom

Cell: 2.812 2.812 7.304 Å, 90.00 90.00 90.00°
Sites, in units of the cell vectors:
Mn1 0.000 0.000 0.000
Mn2 0.500 0.500 0.229
Ag1 0.500 0.500 0.723
Ru1 0.000 0.000 0.427

=====

(4)
MnAg2Ru | PBE-GGA | relaxed

Output
Calculated total energy = -22.5 eV for the cell shown
Space group = Pmmm, No. 47
Distance to the lowest polymorph of the same formula = 4.06 kcal/mol of atoms
Calculated formation energy = 0.41 eV/atom
DOS at the Fermi energy = 0.6893 states/eV per atom

Cell: 3.128 4.399 4.640 Å, 90.00 90.00 90.00°
Sites, in units of the cell vectors:
Mn1 0.000 0.000 0.000
Ag1 0.000 0.500 0.500
Ag2 0.500 0.000 0.500
Ru1 0.500 0.500 0.000

=====

(5)
MnAgRu2 | PBE-GGA | relaxed

Output
Calculated total energy = -27.7 eV for the cell shown
Space group = Fm-3m, No. 225
Distance to the lowest polymorph of the same formula = 10.94 kcal/mol of atoms
Calculated formation energy = 0.72 eV/atom
DOS at the Fermi energy = 2.1717 states/eV per atom

Cell: 4.316 4.316 4.316 Å, 60.00 60.00 60.00°
Sites, in units of the cell vectors:
Mn1 0.000 0.000 0.000
Ag1 0.500 0.500 0.500
Ru1 0.250 0.250 0.250
Ru2 0.750 0.750 0.750

=====

(6)
MnAgRu2 | PBE-GGA | relaxed

Output
Calculated total energy = -28.6 eV for the cell shown
Space group = F-43m, No. 216
Distance to the lowest polymorph of the same formula = 5.84 kcal/mol of atoms
Calculated formation energy = 0.50 eV/atom
DOS at the Fermi energy = 1.0291 states/eV per atom

Cell: 4.402 4.402 4.402 Å, 60.00 60.00 60.00°
Sites, in units of the cell vectors:
Mn1 0.000 0.000 0.000
Ag1 0.750 0.750 0.750
Ru1 0.250 0.250 0.250
Ru2 0.500 0.500 0.500

=====

(7)
Mn2AgRu | PBE-GGA | relaxed

Output
Calculated total energy = -29.6 eV for the cell shown
Space group = P4/mmm, No. 123
Calculated formation energy = 0.23 eV/atom
DOS at the Fermi energy = 1.0016 states/eV per atom

Cell: 2.888 2.888 7.231 Å, 90.00 90.00 90.00°
Sites, in units of the cell vectors:
Mn1 0.000 0.000 0.224
Mn2 0.000 0.000 0.776
Ag1 0.500 0.500 0.500
Ru1 0.500 0.500 0.000

=====

(8)
MnAg2Ru | PBE-GGA | relaxed

Output
Calculated total energy = -22.4 eV for the cell shown
Space group = Immm, No. 71
Distance to the lowest polymorph of the same formula = 4.41 kcal/mol of atoms
Calculated formation energy = 0.43 eV/atom
DOS at the Fermi energy = 0.6600 states/eV per atom

Cell: 5.516 5.516 5.516 Å, 149.42 130.96 58.91°
Sites, in units of the cell vectors:
Mn1 0.000 0.000 0.000
Ag1 0.245 0.745 0.500
Ag2 0.755 0.255 0.500
Ru1 0.500 0.500 0.000

=====

(9)
MnAgRu2 | PBE-GGA | relaxed

Output
Calculated total energy = -29.5 eV for the cell shown
Space group = P4mm, No. 99
Distance to the lowest polymorph of the same formula = 0.48 kcal/mol of atoms
Calculated formation energy = 0.27 eV/atom
DOS at the Fermi energy = 1.0922 states/eV per atom

Cell: 2.782 2.782 7.804 Å, 90.00 90.00 90.00°
Sites, in units of the cell vectors:
Mn1 0.000 0.000 0.000
Ag1 0.500 0.500 0.735
Ru1 0.000 0.000 0.457
Ru2 0.500 0.500 0.240

=====

(10)
TaMn2AgRu | PBE-GGA | relaxed

Output
Calculated total energy = -36.9 eV for the cell shown
Space group = P4/mmm, No. 123
Calculated formation energy = 1.09 eV/atom
DOS at the Fermi energy = 0.8440 states/eV per atom

Cell: 4.787 4.787 4.689 Å, 90.00 90.00 90.00°
Sites, in units of the cell vectors:
Ta1 0.000 0.000 0.000
Mn1 0.000 0.500 0.500
Mn2 0.500 0.000 0.500
Ag1 0.500 0.500 0.000
Ru1 0.000 0.000 0.500

=====

(11)
Mn2TcAgRu | PBE-GGA | relaxed

Output
Calculated total energy = -34.6 eV for the cell shown
Space group = P4/mmm, No. 123
Calculated formation energy = 1.25 eV/atom
DOS at the Fermi energy = 1.2349 states/eV per atom

Cell: 4.643 4.643 4.598 Å, 90.00 90.00 90.00°
Sites, in units of the cell vectors:
Mn1 0.000 0.500 0.000
Mn2 0.500 0.000 0.000
Tc1 0.000 0.000 0.000
Ag1 0.500 0.500 0.500
Ru1 0.000 0.000 0.500

=====

(12)
MnTl2AgRu | PBE-GGA | relaxed

Output
Calculated total energy = -16.5 eV for the cell shown
Space group = P4/mmm, No. 123
Calculated formation energy = 1.90 eV/atom
DOS at the Fermi energy = 2.2145 states/eV per atom

Cell: 5.142 5.142 4.785 Å, 90.00 90.00 90.00°
Sites, in units of the cell vectors:
Mn1 0.000 0.000 0.000
Tl1 0.000 0.500 0.500
Tl2 0.500 0.000 0.500
Ag1 0.000 0.000 0.500
Ru1 0.500 0.500 0.000

=====

(13)
YMn2AgRu | PBE-GGA | relaxed

Output
Calculated total energy = -33.7 eV for the cell shown
Space group = P4/mmm, No. 123
Calculated formation energy = 0.65 eV/atom
DOS at the Fermi energy = 0.8628 states/eV per atom

Cell: 4.825 4.825 5.168 Å, 90.00 90.00 90.00°
Sites, in units of the cell vectors:
Y1 0.000 0.000 0.000
Mn1 0.000 0.500 0.500
Mn2 0.500 0.000 0.500
Ag1 0.500 0.500 0.000
Ru1 0.000 0.000 0.500

=====

(14)
MnZnAgRu | PBE-GGA | relaxed

Output
Calculated total energy = -21.9 eV for the cell shown
Space group = F-43m, No. 216
Calculated formation energy = 0.16 eV/atom
DOS at the Fermi energy = 1.0724 states/eV per atom

Cell: 4.370 4.370 4.370 Å, 60.00 60.00 60.00°
Sites, in units of the cell vectors:
Mn1 0.000 0.000 0.000
Zn1 0.500 0.500 0.500
Ag1 0.250 0.250 0.250
Ru1 0.750 0.750 0.750

=====

(15)
MnAgS2 | PBE-GGA | relaxed

Output
Formation energy (no corrections) = -0.317 eV/atom
Calculated total energy = -86.2 eV for the cell shown
Space group = Pnma, No. 62
DOS at the Fermi energy = 0.2236 states/eV per atom

Cell: 7.232 3.189 13.768 Å, 90.00 90.00 90.00°
Sites, in units of the cell vectors:
Mn1 0.038 0.250 0.074
Mn2 0.462 0.750 0.574
Mn3 0.538 0.250 0.426
Mn4 0.962 0.750 0.926
Ag1 0.036 0.750 0.321
Ag2 0.464 0.250 0.821
Ag3 0.536 0.750 0.179
Ag4 0.964 0.250 0.679
S1 0.183 0.250 0.932
S2 0.200 0.750 0.159
S3 0.300 0.250 0.659
S4 0.317 0.750 0.432
S5 0.683 0.250 0.568
S6 0.700 0.750 0.341
S7 0.800 0.250 0.841
S8 0.817 0.750 0.068

=====

(16)
MnAgS2 | PBE-GGA | relaxed

Output
Formation energy (no corrections) = -0.173 eV/atom
Calculated total energy = -167.7 eV for the cell shown
Space group = C2/c, No. 15
DOS at the Fermi energy = 0.0024 states/eV per atom

Cell: 7.241 7.241 11.535 Å, 92.52 92.52 90.27°
Sites, in units of the cell vectors:
Mn1 0.015 0.774 0.843
Mn2 0.222 0.534 0.653
Mn3 0.226 0.985 0.657
Mn4 0.466 0.778 0.847
Mn5 0.534 0.222 0.153
Mn6 0.774 0.015 0.343
Mn7 0.778 0.466 0.347
Mn8 0.985 0.226 0.157
Ag1 0.033 0.324 0.913
Ag2 0.320 0.456 0.417
Ag3 0.324 0.033 0.413
Ag4 0.456 0.320 0.917
Ag5 0.544 0.680 0.083
Ag6 0.676 0.967 0.587
Ag7 0.680 0.544 0.583
Ag8 0.967 0.676 0.087
S1 0.021 0.979 0.250
S2 0.029 0.481 0.256
S3 0.208 0.252 0.576
S4 0.209 0.754 0.537
S5 0.246 0.791 0.963
S6 0.252 0.208 0.076
S7 0.481 0.029 0.756
S8 0.481 0.519 0.750
S9 0.519 0.481 0.250
S10 0.519 0.971 0.244
S11 0.748 0.792 0.924
S12 0.754 0.209 0.037
S13 0.791 0.246 0.463
S14 0.792 0.748 0.424
S15 0.971 0.519 0.744
S16 0.979 0.021 0.750

=====

(17)
MnAgS3 | PBE-GGA | relaxed

Output
Formation energy (no corrections) = 0.227 eV/atom
Calculated total energy = -23.3 eV for the cell shown
Space group = Pm-3m, No. 221
Distance to the lowest polymorph of the same formula = 10.04 kcal/mol of atoms
DOS at the Fermi energy = 0.8458 states/eV per atom

Cell: 4.578 4.578 4.578 Å, 90.00 90.00 90.00°
Sites, in units of the cell vectors:
Mn1 0.000 0.000 0.000
Ag1 0.500 0.500 0.500
S1 0.000 0.000 0.500
S2 0.000 0.500 0.000
S3 0.500 0.000 0.000

=====

(18)
MnAgS6 | PBE-GGA | relaxed

Output
Formation energy (no corrections) = -0.022 eV/atom
Calculated total energy = -37.0 eV for the cell shown
Space group = P-1, No. 2
DOS at the Fermi energy = 0.4202 states/eV per atom

Cell: 3.510 5.690 7.969 Å, 86.98 86.17 86.64°
Sites, in units of the cell vectors:
Mn1 0.000 0.000 0.000
Ag1 0.500 0.000 0.500
S1 0.019 0.367 0.427
S2 0.151 0.608 0.925
S3 0.488 0.916 0.187
S4 0.512 0.084 0.813
S5 0.849 0.392 0.075
S6 0.981 0.633 0.573

=====

(19)
MnAgS2 | PBE-GGA | relaxed

Output
Formation energy (no corrections) = -0.130 eV/atom
Calculated total energy = -41.6 eV for the cell shown
Space group = I4/mcm, No. 140
DOS at the Fermi energy = 0.7303 states/eV per atom

Cell: 5.889 5.889 5.889 Å, 101.89 101.89 126.01°
Sites, in units of the cell vectors:
Mn1 0.250 0.750 0.500
Mn2 0.750 0.250 0.500
Ag1 0.250 0.250 0.000
Ag2 0.750 0.750 0.000
S1 0.160 0.660 0.819
S2 0.340 0.160 0.500
S3 0.660 0.840 0.500
S4 0.840 0.340 0.181

=====

(20)
MnAgS2 | PBE-GGA | relaxed

Output
Formation energy (no corrections) = -0.273 eV/atom
Calculated total energy = -42.7 eV for the cell shown
Space group = C2/c, No. 15
DOS at the Fermi energy = 0.0060 states/eV per atom

Cell: 6.628 6.628 5.319 Å, 112.59 112.59 107.80°
Sites, in units of the cell vectors:
Mn1 0.003 0.997 0.750
Mn2 0.997 0.003 0.250
Ag1 0.453 0.547 0.750
Ag2 0.547 0.453 0.250
S1 0.064 0.315 0.175
S2 0.315 0.064 0.675
S3 0.685 0.936 0.325
S4 0.936 0.685 0.825

=====

(21)
MnAgS2 | PBE-GGA | relaxed

Output
Formation energy (no corrections) = -0.149 eV/atom
Calculated total energy = -41.7 eV for the cell shown
Space group = Cmcm, No. 63
DOS at the Fermi energy = 0.3588 states/eV per atom

Cell: 12.022 12.022 3.799 Å, 90.00 90.00 164.57°
Sites, in units of the cell vectors:
Mn1 0.184 0.816 0.750
Mn2 0.816 0.184 0.250
Ag1 0.458 0.542 0.750
Ag2 0.542 0.458 0.250
S1 0.287 0.713 0.750
S2 0.389 0.611 0.250
S3 0.611 0.389 0.750
S4 0.713 0.287 0.250

=====

(22)
MnAgS3 | PBE-GGA | relaxed

Output
Formation energy (no corrections) = -0.209 eV/atom
Calculated total energy = -101.8 eV for the cell shown
Space group = C2/c, No. 15
Distance to the lowest polymorph of the same formula = 0.00 kcal/mol of atoms
DOS at the Fermi energy = 0.3428 states/eV per atom

Cell: 7.955 7.955 6.027 Å, 94.41 94.41 82.51°
Sites, in units of the cell vectors:
Mn1 0.077 0.923 0.750
Mn2 0.262 0.738 0.250
Mn3 0.738 0.262 0.750
Mn4 0.923 0.077 0.250
Ag1 0.180 0.395 0.718
Ag2 0.395 0.180 0.218
Ag3 0.605 0.820 0.782
Ag4 0.820 0.605 0.282
S1 0.015 0.195 0.937
S2 0.099 0.670 0.530
S3 0.195 0.015 0.437
S4 0.330 0.901 0.970
S5 0.341 0.492 0.062
S6 0.492 0.341 0.562
S7 0.508 0.659 0.438
S8 0.659 0.508 0.938
S9 0.670 0.099 0.030
S10 0.805 0.985 0.563
S11 0.901 0.330 0.470
S12 0.985 0.805 0.063

=====

(23)
MnAgS2 | PBE-GGA | relaxed

Output
Formation energy (no corrections) = -0.184 eV/atom
Calculated total energy = -84.0 eV for the cell shown
Space group = Pna2_1, No. 33
DOS at the Fermi energy = 0.5976 states/eV per atom

Cell: 6.688 7.335 6.278 Å, 90.00 90.00 90.00°
Sites, in units of the cell vectors:
Mn1 0.048 0.125 0.000
Mn2 0.452 0.625 0.500
Mn3 0.548 0.375 0.000
Mn4 0.952 0.875 0.500
Ag1 0.105 0.576 0.996
Ag2 0.395 0.076 0.496
Ag3 0.605 0.924 0.996
Ag4 0.895 0.424 0.496
S1 0.046 0.120 0.658
S2 0.148 0.659 0.602
S3 0.352 0.159 0.102
S4 0.454 0.620 0.158
S5 0.546 0.380 0.658
S6 0.648 0.841 0.602
S7 0.852 0.341 0.102
S8 0.954 0.880 0.158

=====

(24)
MnAg6S4 | PBE-GGA | relaxed

Output
Formation energy (no corrections) = -0.059 eV/atom
Calculated total energy = -43.4 eV for the cell shown
Space group = I-42m, No. 121
DOS at the Fermi energy = 0.1975 states/eV per atom

Cell: 7.296 7.296 7.296 Å, 131.26 131.26 71.39°
Sites, in units of the cell vectors:
Mn1 0.000 0.000 0.000
Ag1 0.000 0.500 0.500
Ag2 0.169 0.509 0.000
Ag3 0.491 0.491 0.660
Ag4 0.500 0.000 0.500
Ag5 0.509 0.169 0.000
Ag6 0.831 0.831 0.340
S1 0.103 0.103 0.461
S2 0.358 0.897 0.000
S3 0.642 0.642 0.539
S4 0.897 0.358 0.000

=====

(25)
MnAg2S | PBE-GGA | relaxed

Output
Formation energy (no corrections) = 0.275 eV/atom
Calculated total energy = -35.8 eV for the cell shown
Space group = I-42d, No. 122
DOS at the Fermi energy = 0.8442 states/eV per atom

Cell: 6.334 6.334 6.334 Å, 97.74 97.74 136.94°
Sites, in units of the cell vectors:
Mn1 0.000 0.000 0.000
Mn2 0.750 0.250 0.500
Ag1 0.207 0.125 0.582
Ag2 0.375 0.793 0.918
Ag3 0.543 0.625 0.418
Ag4 0.875 0.457 0.082
S1 0.250 0.750 0.500
S2 0.500 0.500 0.000